## Rb3AcBr8 (PBE)

Data for Rb3AcBr8 after structural relaxation.

Final energy = -0.2313 Ry per atom
Uncorrected formation energy = -1.4476 eV per atom
Symmetry = I4/mmm (139)
Total moment = 1.7 μB/f.u.
Crystal system = tetragonal

a = 10.0189 Å, b = 10.0189 Å, c = 10.0189 Å
α = 134.42°, β = 134.42°, γ = 66.43°
With the nearest neighbours (Å) after each atom.
Atoms (fractional coordinates):
Rb: 0.0000 0.0000 0.0000  8 Br 3.52
Rb: 0.2500 0.7500 0.5000  8 Br 3.58
Rb: 0.7500 0.2500 0.5000  8 Br 3.58
Ac: 0.5000 0.5000 0.0000  8 Br 3.17
Br: 0.1558 0.1558 0.5392  1 Ac 3.17, 1 Rb 3.52
Br: 0.1558 0.6166 0.0000  1 Ac 3.17, 1 Rb 3.52
Br: 0.3834 0.3834 0.5392  1 Ac 3.17, 1 Rb 3.52
Br: 0.3834 0.8442 0.0000  1 Ac 3.17, 1 Rb 3.52
Br: 0.6166 0.1558 0.0000  1 Ac 3.17, 1 Rb 3.52
Br: 0.6166 0.6166 0.4608  1 Ac 3.17, 1 Rb 3.52
Br: 0.8442 0.3834 0.0000  1 Ac 3.17, 1 Rb 3.52
Br: 0.8442 0.8442 0.4608  1 Ac 3.17, 1 Rb 3.52